1.
This record from the Alexandria database describes a relaxed structure of P3Ir. The functional is PBE.

The value obtained for the polymorph energy (0 for the lowest one) is 0.680 eV/atom.

It has space group C2/m (No. 12), with a = 5.778 Å, b = 3.344 Å, c = 6.318 Å, α = 90.00°, β = 108.00° and γ = 90.00°. The asymmetric unit holds P at (0.000, 0.000, 0.000), P at (0.248, 0.500, 0.245) and Ir at (0.000, 0.500, 0.500).


2.
This record from the Alexandria database describes a relaxed structure of PIr. The functional is PBE.

It has space group Cmme (No. 67), with a = 2.757 Å, b = 4.843 Å, c = 9.823 Å, α = 90.00°, β = 90.00° and γ = 90.00°. The asymmetric unit holds P at (0.000, 0.250, 0.177) and Ir at (0.000, 0.250, 0.626).


3.
This record from the Alexandria database describes a relaxed structure of P2Ir. The functional is PBE.

It has space group Cmcm (No. 63), with a = 3.352 Å, b = 10.903 Å, c = 4.675 Å, α = 90.00°, β = 90.00° and γ = 90.00°. The asymmetric unit holds P at (0.000, 0.024, 0.250), P at (0.000, 0.363, 0.250) and Ir at (0.000, 0.309, 0.750).


4.
This record from the Alexandria database describes a relaxed structure of PIr. The functional is PBE.

It has space group Pm-3n (No. 223), with a = 6.461 Å, b = 6.461 Å, c = 6.461 Å, α = 90.00°, β = 90.00° and γ = 90.00°. The asymmetric unit holds P at (0.000, 0.250, 0.500) and Ir at (0.000, 0.500, 0.250).


5.
This record from the Alexandria database describes a relaxed structure of PIr. The functional is PBE.

It has space group Imma (No. 74), with a = 2.858 Å, b = 4.348 Å, c = 9.246 Å, α = 90.00°, β = 90.00° and γ = 90.00°. The asymmetric unit holds P at (0.000, 0.250, 0.112) and Ir at (0.000, 0.250, 0.605).


6.
This record from the Alexandria database describes a relaxed structure of P3Ir. The functional is PBE.

The value obtained for the polymorph energy (0 for the lowest one) is 1.296 eV/atom.

It has space group Pm-3m (No. 221), with a = 3.865 Å, b = 3.865 Å, c = 3.865 Å, α = 90.00°, β = 90.00° and γ = 90.00°. The asymmetric unit holds P at (0.000, 0.000, 0.500) and Ir at (0.500, 0.500, 0.500).


7.
This record from the Alexandria database describes a relaxed structure of PIr. The functional is PBE.

It has space group P4/nmm (No. 129, origin choice 2), with a = 2.870 Å, b = 2.870 Å, c = 7.949 Å, α = 90.00°, β = 90.00° and γ = 90.00°. The asymmetric unit holds P at (0.250, 0.250, 0.193) and Ir at (0.250, 0.250, 0.641).


8.
This record from the Alexandria database describes a relaxed structure of PIr. The functional is PBE.

It has space group R3m (No. 160, hexagonal axes), with a = 3.7268 Å, b = 3.7268 Å, c = 9.0759 Å, α = 90.00°, β = 90.00° and γ = 120.00°. The asymmetric unit holds P at (0.0000, 0.0000, 0.0000) and Ir at (0.0000, 0.0000, 0.7495).


Let's list calculated formation energy in order: 0.037; 0.269; -0.124; -0.139; 0.137; 0.652; -0.090; -0.377 eV/atom.